Record 1
Entry from the Alexandria database: a relaxed structure of La2YGaO (PBE-GGA).

Lattice parameters (Å, degrees): 5.0317 5.0317 4.7319 90.00 90.00 90.00
With the nearest neighbours (Å) after each atom.
Atoms (fractional coordinates):
La  0.0000  0.5000  0.0000  2 O 2.52
La  0.5000  0.0000  0.0000  2 O 2.52
Y  0.0000  0.0000  0.5000  2 O 2.37
Ga  0.5000  0.5000  0.5000  8 La 3.45, 4 Y 3.56
O  0.0000  0.0000  0.0000  2 Y 2.37, 4 La 2.52

Values from the calculation:
formation energy (no corrections)	-6.91	eV/f.u.

***

Record 2
Entry from the Alexandria database: a relaxed structure of LaZrGaO5 (PBE-GGA).

Lattice parameters (Å, degrees): 5.8809 5.8809 7.6046 103.39 103.39 107.09
With the nearest neighbours (Å) after each atom.
Atoms (fractional coordinates):
La  0.1676  0.8324  0.7500  5 O 2.33-2.53
La  0.8324  0.1676  0.2500  5 O 2.33-2.53
Zr  0.5000  0.5000  0.0000  6 O 2.07-2.16
Zr  0.5000  0.5000  0.5000  6 O 2.07-2.16
Ga  0.1797  0.8203  0.2500  4 O 1.86-1.87
Ga  0.8203  0.1797  0.7500  4 O 1.86-1.87
O  0.1304  0.2326  0.9202  1 Ga 1.87
O  0.1812  0.5972  0.3886  1 Ga 1.86
O  0.2326  0.1304  0.4202  1 Ga 1.87
O  0.4028  0.8188  0.1114  1 Ga 1.86
O  0.4144  0.5856  0.7500  2 Zr 2.07
O  0.5856  0.4144  0.2500  2 Zr 2.07
O  0.5972  0.1812  0.8886  1 Ga 1.86
O  0.7674  0.8696  0.5798  1 Ga 1.87
O  0.8188  0.4028  0.6114  1 Ga 1.86
O  0.8696  0.7674  0.0798  1 Ga 1.87

Values from the calculation:
formation energy (no corrections)	-23.49	eV/f.u.

***

Record 3
Entry from the Alexandria database: a relaxed structure of La2GaOs2 (PBE-GGA).

Lattice parameters (Å, degrees): 5.7408 5.7408 8.1658 102.81 102.81 61.02
With the nearest neighbours (Å) after each atom.
Atoms (fractional coordinates):
La  0.0032  0.7048  0.8546  6 Os 3.02-3.27, 1 Ga 3.26
La  0.2952  0.9968  0.6454  6 Os 3.02-3.27, 1 Ga 3.26
La  0.7048  0.0032  0.3546  6 Os 3.02-3.27, 1 Ga 3.26
La  0.9968  0.2952  0.1454  6 Os 3.02-3.27, 1 Ga 3.26
Ga  0.3919  0.6081  0.2500  4 Os 2.66-2.72
Ga  0.6081  0.3919  0.7500  4 Os 2.66-2.72
Os  0.2056  0.5122  0.4856  1 Os 2.50, 2 Ga 2.66-2.72
Os  0.4878  0.7944  0.0144  1 Os 2.50, 2 Ga 2.66-2.72
Os  0.5122  0.2056  0.9856  1 Os 2.50, 2 Ga 2.66-2.72
Os  0.7944  0.4878  0.5144  1 Os 2.50, 2 Ga 2.66-2.72

Values from the calculation:
raw total energy	-7.334	eV/atom

***

Record 4
Entry from the Alexandria database: a relaxed structure of LaGa2Os2 (PBE-GGA).

Lattice parameters (Å, degrees): 5.9740 5.9740 5.9740 136.81 136.81 62.73
With the nearest neighbours (Å) after each atom.
Atoms (fractional coordinates):
La  0.0000  0.0000  0.0000  8 Os 3.33, 8 Ga 3.37
Ga  0.2500  0.7500  0.5000  4 Os 2.59
Ga  0.7500  0.2500  0.5000  4 Os 2.59
Os  0.3843  0.3843  0.0000  1 Os 2.36, 4 Ga 2.59
Os  0.6157  0.6157  0.0000  1 Os 2.36, 4 Ga 2.59

Values from the calculation:
raw total energy	-6.941	eV/atom

***

Record 5
Entry from the Alexandria database: a relaxed structure of LaGa3Os (PBE-GGA).

Lattice parameters (Å, degrees): 5.3925 5.3925 5.3925 90.00 90.00 90.00
With the nearest neighbours (Å) after each atom.
Atoms (fractional coordinates):
La  0.0000  0.0000  0.0000  6 Ga 2.70
Ga  0.0000  0.0000  0.5000  2 La 2.70
Ga  0.0000  0.5000  0.0000  2 La 2.70
Ga  0.5000  0.0000  0.0000  2 La 2.70
Os  0.5000  0.5000  0.5000  12 Ga 3.81

Values from the calculation:
ΔE to the lowest computed polymorph	2421	meV/atom

***

Record 6
Entry from the Alexandria database: a relaxed structure of LaGaOs2 (PBE-GGA).

Lattice parameters (Å, degrees): 9.2947 9.2947 9.2947 149.77 149.77 43.28
With the nearest neighbours (Å) after each atom.
Atoms (fractional coordinates):
La  0.0000  0.0000  0.0000  8 Os 3.35-3.58, 4 Ga 3.43
La  0.7500  0.2500  0.5000  8 Os 3.35-3.58, 4 Ga 3.43
Ga  0.2500  0.7500  0.5000  4 Os 2.48
Ga  0.5000  0.5000  0.0000  4 Os 2.48
Os  0.3404  0.6250  0.2154  2 Os 2.45, 2 Ga 2.48
Os  0.3750  0.5904  0.7154  2 Os 2.45, 2 Ga 2.48
Os  0.4096  0.1250  0.7846  2 Os 2.45, 2 Ga 2.48
Os  0.8750  0.6596  0.2846  2 Os 2.45, 2 Ga 2.48

Values from the calculation:
raw total energy	-7.351	eV/atom

***

Record 7
Entry from the Alexandria database: a relaxed structure of La5Ga2Os (PBE-GGA).

Lattice parameters (Å, degrees): 8.1321 12.2599 4.7605 90.00 90.00 90.00
With the nearest neighbours (Å) after each atom.
Atoms (fractional coordinates):
La  0.0000  0.0000  0.0000  4 Ga 3.18
La  0.1469  0.2958  0.0000  1 Os 2.77
La  0.1857  0.5722  0.5000  2 Os 2.95
La  0.3143  0.0722  0.5000  2 Os 2.95
La  0.3531  0.7958  0.0000  1 Os 2.77
La  0.5000  0.5000  0.0000  4 Ga 3.18
La  0.6469  0.2042  0.0000  1 Os 2.77
La  0.6857  0.9278  0.5000  2 Os 2.95
La  0.8143  0.4278  0.5000  2 Os 2.95
La  0.8531  0.7042  0.0000  1 Os 2.77
Ga  0.0693  0.8336  0.5000  9 La 3.18-3.54
Ga  0.4307  0.3336  0.5000  9 La 3.18-3.54
Ga  0.5693  0.6664  0.5000  9 La 3.18-3.54
Ga  0.9307  0.1664  0.5000  9 La 3.18-3.54
Os  0.0000  0.5000  0.0000  6 La 2.77-2.95
Os  0.5000  0.0000  0.0000  6 La 2.77-2.95

Values from the calculation:
raw total energy	-5.631	eV/atom

***

Record 8
Entry from the Alexandria database: a relaxed structure of La4Ga3Os (PBE-GGA).

Lattice parameters (Å, degrees): 4.3627 4.4143 11.1597 90.00 90.00 90.00
With the nearest neighbours (Å) after each atom.
Atoms (fractional coordinates):
La  0.0000  0.0000  0.0000  1 Os 3.10, 6 Ga 3.25-3.34
La  0.0000  0.5000  0.4702  2 Os 3.08, 5 Ga 3.19-3.40
La  0.5000  0.0000  0.7008  7 Ga 3.21-3.30
La  0.5000  0.5000  0.2026  3 Ga 3.16-3.22, 4 Os 3.21
Ga  0.0000  0.5000  0.7751  2 Ga 2.67
Ga  0.5000  0.0000  0.4053  2 Os 2.61
Ga  0.5000  0.5000  0.9137  2 Ga 2.67
Os  0.0000  0.0000  0.2775  2 Ga 2.61

Values from the calculation:
raw total energy	-5.459	eV/atom